Record 1
# SrP2Rh2, relaxed, DFT PBEsol
# energy relative to the elements	-0.942	eV per atom
data_SrP2Rh2
_cell_length_a 4.036
_cell_length_b 4.036
_cell_length_c 9.933
_cell_angle_alpha 90.00
_cell_angle_beta 90.00
_cell_angle_gamma 90.00
_symmetry_space_group_name_H-M 'I 4/m m m'
_symmetry_Int_Tables_number 139
_symmetry_space_group_name_Hall '-I 4 2'
loop_
_atom_site_label
_atom_site_fract_x
_atom_site_fract_y
_atom_site_fract_z
_atom_site_occupancy
Sr1 0.000 0.000 0.000 1
P1 0.000 0.000 0.380 1
Rh1 0.000 0.500 0.250 1

---

Record 2
# Sr2P6Rh7, relaxed, DFT PBEsol
# energy relative to the elements	-0.938	eV per atom
data_Sr2P6Rh7
_cell_length_a 11.050
_cell_length_b 11.050
_cell_length_c 4.065
_cell_angle_alpha 90.00
_cell_angle_beta 90.00
_cell_angle_gamma 90.00
_symmetry_space_group_name_H-M 'P -4 21 m'
_symmetry_Int_Tables_number 113
loop_
_symmetry_equiv_pos_as_xyz
'x,y,z'
'y,-x,-z'
'-x,-y,z'
'-y,x,-z'
'x+1/2,-y+1/2,-z'
'y+1/2,x+1/2,z'
'-x+1/2,y+1/2,-z'
'-y+1/2,-x+1/2,z'
loop_
_atom_site_label
_atom_site_fract_x
_atom_site_fract_y
_atom_site_fract_z
_atom_site_occupancy
Sr1 0.162 0.338 0.250 1
P1 0.072 0.572 0.768 1
P2 0.111 0.858 0.278 1
Rh1 0.000 0.000 0.000 1
Rh2 0.037 0.776 0.759 1
Rh3 0.152 0.652 0.267 1